The following is a GGA+U calculation of a geometry-optimized TaCo2O2 structure, from Alexandria via LeMat-Bulk.

Cell and atoms, written as POSCAR:
```
TaCo2O2
1.0
-1.539 1.539 5.854
1.539 -1.539 5.854
1.539 1.539 -5.854
Ta Co O
1 2 2
Direct
0.000 0.000 0.000
0.250 0.750 0.500
0.750 0.250 0.500
0.406 0.406 0.000
0.594 0.594 0.000
```

Output
For the density of states at the Fermi level, the calculation gives 3.12 states/eV per cell. As for the space group: I4/mmm, No. 139. For the energy above the most stable polymorph in this dataset, the calculation gives 990 meV/atom.